The following is a DFT calculation (SCAN) of CoRh5 at its PBEsol-relaxed geometry.

Cell: 2.668 4.260 7.016 Å, 90.00 100.96 90.00°
Fractional coordinates of all 6 atoms:
Co1 0.000 0.000 0.000
Rh1 0.222 0.500 0.444
Rh2 0.337 0.000 0.675
Rh3 0.553 0.500 0.107
Rh4 0.663 0.000 0.327
Rh5 0.891 0.500 0.781

Values from the calculation:
DFT total energy, eV per atom: -30.9773
SG: Amm2 (38)
Formation energy, eV/atom: 0.0497
D(E_F), states/eV per atom: 1.210